Density functional theory data (GGA+U) for a relaxed CaMnHgF6 crystal.

Output
volume	285.3	Å³/cell
Fermi-level density of states	0.00	states/eV/f.u.
final energy	-90.03	eV for the cell shown

Structure (CIF):
```
data_CaMnHgF6
_chemical_formula_sum 'Ca2 Mn2 Hg2 F12'
_space_group_name_H-M_alt 'P 42 n m'
_space_group_IT_number 102
_cell_length_a 5.1750
_cell_length_b 5.1750
_cell_length_c 10.6550
_cell_angle_alpha 90.00
_cell_angle_beta 90.00
_cell_angle_gamma 90.00
loop_
_space_group_symop_operation_xyz
'x,y,z'
'-y+1/2,x+1/2,z+1/2'
'-x,-y,z'
'y+1/2,-x+1/2,z+1/2'
'-x+1/2,y+1/2,z+1/2'
'y,x,z'
'x+1/2,-y+1/2,z+1/2'
'-y,-x,z'
loop_
_atom_site_label
_atom_site_type_symbol
_atom_site_fract_x
_atom_site_fract_y
_atom_site_fract_z
Ca1 Ca 0.0000 0.0000 0.0000
Mn1 Mn 0.0000 0.0000 0.3347
Hg1 Hg 0.0000 0.0000 0.6683
F1 F 0.1845 0.1845 0.1750
F2 F 0.1910 0.1910 0.4887
F3 F 0.2077 0.2077 0.8394
```